Computed, not measured: a relaxed structure of Eu2CdO at the PBE-GGA level of DFT.

Unit cell a=3.2305 b=3.2305 c=8.3753 alpha=90.00 beta=90.00 gamma=90.00
Atoms (fractional coordinates):
Eu 0.0000 0.0000 0.1813
Eu 0.0000 0.0000 0.8187
Cd 0.5000 0.5000 0.5000
O 0.5000 0.5000 0.0000

Computed properties:
Calculated total energy in eV per atom: -7.7468
Mass density in g/cm³: 8.21
Size of the total moment in Bohr magnetons per cell: 14.48
Symmetry: P4/mmm, No. 123
Uncorrected formation energy in eV/atom: -1.14
DOS at the Fermi energy in states/eV/atom: 0.557
ΔE to the lowest computed polymorph in meV per atom: 76